CuMoAsO6: relaxed, PBE+U.

```
CuMoAsO6
1.0
5.0731 0.0000 0.0000
-2.5366 4.3934 0.0000
0.0000 0.0000 9.1182
Cu Mo As O
2 2 2 12
Cartesian
0.0000 0.0000 0.0000
0.0000 0.0000 4.5591
0.0000 2.9290 2.2796
2.5366 1.4645 6.8387
0.0000 2.9290 6.8387
2.5366 1.4645 2.2796
-0.8692 1.6334 5.7974
-1.5566 2.8240 7.8799
0.8692 1.6334 7.8799
-0.6874 4.3295 5.7974
1.8492 0.0640 1.2383
0.9800 1.5695 3.3208
1.5566 2.8240 5.7974
0.6874 4.3295 7.8799
3.2239 0.0640 3.3208
1.6673 2.7600 1.2383
4.0931 1.5695 1.2383
3.4058 2.7600 3.3208
```

Results
Its total magnetic moment is 0.08 μB/atom. For the uncorrected energy, the calculation gives -6.15 eV per atom. The density of states at the Fermi level is 4.39 states/eV/f.u.